Compound: Mg2P
Source: Alexandria
Functional: PBE
Structure: relaxed

Computed properties:
SG ... P1, No. 1
Energy of formation from the pure elements ... -42.6 kJ per mole of atoms

POSCAR file:
```
Mg2P
1.0
4.101 0.000 0.000
2.048 3.555 0.000
2.032 1.179 8.970
Mg P
4 2
Direct
0.000 0.000 0.000
0.179 0.175 0.471
0.418 0.419 0.739
0.598 0.597 0.209
0.698 0.698 0.905
0.900 0.899 0.304
```

Compound: Mg2P
Source: Alexandria
Functional: PBE
Structure: relaxed

Computed properties:
SG ... P-3m1, No. 164
Energy of formation from the pure elements ... -27.7 kJ per mole of atoms

POSCAR file:
```
Mg2P
1.0
3.965 0.000 0.000
-1.983 3.434 0.000
0.000 0.000 5.043
Mg P
2 1
Direct
0.333 0.667 0.263
0.667 0.333 0.737
0.000 0.000 0.500
```

Compound: Mg2P
Source: Alexandria
Functional: PBE
Structure: relaxed

Computed properties:
SG ... P4/mmm, No. 123
Energy of formation from the pure elements ... -25.4 kJ per mole of atoms

POSCAR file:
```
Mg2P
1.0
4.154 0.000 0.000
0.000 4.154 0.000
0.000 0.000 3.572
Mg P
2 1
Direct
0.000 0.500 0.000
0.500 0.000 0.000
0.000 0.000 0.500
```